## Na2VGaO5 (PBE with a Hubbard U)

Data for a relaxed Na2VGaO5 crystal.

Properties
raw total energy: -107.6 eV per cell
spin magnetization: 0.0 μB/f.u.

a b c (Å): 2.9698 6.5878 11.5958
angles (deg): 90.00 90.00 103.03
Fractional coordinates of all 18 atoms:
Na (0.8644, 0.7288, 0.7566)
Na (0.0879, 0.1758, 0.6974)
Na (0.1356, 0.2712, 0.2566)
Na (0.9121, 0.8242, 0.1974)
V (0.7490, 0.4980, 0.5204)
V (0.2510, 0.5020, 0.0204)
Ga (0.5247, 0.0494, 0.9499)
Ga (0.4753, 0.9506, 0.4499)
O (0.3871, 0.7742, 0.0301)
O (0.7404, 0.4809, 0.9160)
O (0.4945, 0.9890, 0.8010)
O (0.2642, 0.5284, 0.6304)
O (0.9145, 0.8291, 0.5222)
O (0.6129, 0.2258, 0.5301)
O (0.2596, 0.5191, 0.4160)
O (0.5055, 0.0110, 0.3010)
O (0.7358, 0.4716, 0.1304)
O (0.0855, 0.1709, 0.0222)